# Er6In2Ir

Er6In2Ir after structural relaxation (PBE-GGA, Alexandria via LeMat-Bulk).

Cell: 3.8395 8.5649 8.5421 Å, 120.09 90.00 90.00°
Positions (direct):
1 Er 0.0000 0.2447 0.0000
2 Er 0.0000 0.9987 0.2412
3 Er 0.0000 0.7575 0.7588
4 Er 0.5000 0.9995 0.6124
5 Er 0.5000 0.3871 0.3876
6 Er 0.5000 0.6097 0.0000
7 Ir 0.5000 0.0036 0.0000
8 In 0.0000 0.6668 0.3342
9 In 0.0000 0.3325 0.6658

Computed properties:
* energy above the most stable polymorph in this dataset: 0.00 eV per formula unit
* Fermi-level density of states: 9.4 states/eV/f.u.
* V: 243.1 Å³/cell